(A)
Entry from the Alexandria database: a geometry-optimized ReIr2Br structure (PBE-GGA).

```
data_ReIr2Br
_chemical_formula_sum 'Re1 Ir2 Br1'
_space_group_name_H-M_alt 'P 1'
_space_group_IT_number 1
_space_group_name_Hall 'P 1'
_cell_length_a 4.820
_cell_length_b 4.820
_cell_length_c 2.765
_cell_angle_alpha 90.00
_cell_angle_beta 90.00
_cell_angle_gamma 90.00
loop_
_atom_site_label
_atom_site_fract_x
_atom_site_fract_y
_atom_site_fract_z
_atom_site_occupancy
Re1 0.500 0.000 0.500 1
Ir1 0.000 0.000 0.000 1
Ir2 0.500 0.500 0.000 1
Br1 0.000 0.500 0.500 1
```

Calculated values
For the size of the total moment, the calculation gives 0.00 μB per formula unit. As for the density of states at the Fermi level: 0.8429 states/eV per atom.

(B)
Entry from the Alexandria database: a geometry-optimized ReIr2Br structure (PBE-GGA).

```
data_ReIr2Br
_chemical_formula_sum 'Re1 Ir2 Br1'
_space_group_name_H-M_alt 'P 1'
_space_group_IT_number 1
_space_group_name_Hall 'P 1'
_cell_length_a 4.044
_cell_length_b 3.949
_cell_length_c 3.949
_cell_angle_alpha 90.00
_cell_angle_beta 90.00
_cell_angle_gamma 90.00
loop_
_atom_site_label
_atom_site_fract_x
_atom_site_fract_y
_atom_site_fract_z
_atom_site_occupancy
Br1 0.500 0.000 0.500 1
Ir1 0.000 0.500 0.500 1
Ir2 0.000 0.000 0.000 1
Re1 0.500 0.500 0.000 1
```

Calculated values
For the size of the total moment, the calculation gives 0.00 μB per formula unit. As for the density of states at the Fermi level: 1.2308 states/eV per atom.

(C)
Entry from the Alexandria database: a geometry-optimized ReIr2Br structure (PBE-GGA).

```
data_ReIr2Br
_chemical_formula_sum 'Re1 Ir2 Br1'
_space_group_name_H-M_alt 'P 1'
_space_group_IT_number 1
_space_group_name_Hall 'P 1'
_cell_length_a 3.607
_cell_length_b 2.810
_cell_length_c 7.078
_cell_angle_alpha 90.02
_cell_angle_beta 90.00
_cell_angle_gamma 90.00
loop_
_atom_site_label
_atom_site_fract_x
_atom_site_fract_y
_atom_site_fract_z
_atom_site_occupancy
Br1 0.500 0.750 0.750 1
Re1 0.500 0.250 0.250 1
Ir1 0.000 0.750 0.061 1
Ir2 0.000 0.750 0.439 1
```

Calculated values
For the size of the total moment, the calculation gives 0.12 μB per formula unit. As for the density of states at the Fermi level: 0.9119 states/eV per atom.

(D)
Entry from the Alexandria database: a geometry-optimized ReIr2Br structure (PBE-GGA).

```
data_ReIr2Br
_chemical_formula_sum 'Re1 Ir2 Br1'
_space_group_name_H-M_alt 'P 1'
_space_group_IT_number 1
_space_group_name_Hall 'P 1'
_cell_length_a 2.840
_cell_length_b 2.840
_cell_length_c 8.282
_cell_angle_alpha 90.00
_cell_angle_beta 90.00
_cell_angle_gamma 90.00
loop_
_atom_site_label
_atom_site_fract_x
_atom_site_fract_y
_atom_site_fract_z
_atom_site_occupancy
Ir1 0.000 0.000 0.464 1
Ir2 0.000 0.000 0.036 1
Br1 0.500 0.500 0.750 1
Re1 0.500 0.500 0.250 1
```

Calculated values
For the size of the total moment, the calculation gives 0.00 μB per formula unit. As for the density of states at the Fermi level: 0.7818 states/eV per atom.

Which of them is the least stable? Correct choice: (B).

(A)
Entry from the Alexandria database: a geometry-optimized ReIr3Br structure (PBE-GGA).

```
data_ReIr3Br
_chemical_formula_sum 'Re1 Ir3 Br1'
_space_group_name_H-M_alt 'P 1'
_space_group_IT_number 1
_space_group_name_Hall 'P 1'
_cell_length_a 4.788
_cell_length_b 4.788
_cell_length_c 4.788
_cell_angle_alpha 90.00
_cell_angle_beta 90.00
_cell_angle_gamma 90.00
loop_
_atom_site_label
_atom_site_fract_x
_atom_site_fract_y
_atom_site_fract_z
_atom_site_occupancy
Ir1 0.000 0.500 0.000 1
Ir2 0.000 0.000 0.500 1
Ir3 0.500 0.000 0.000 1
Re1 0.000 0.000 0.000 1
Br1 0.500 0.500 0.500 1
```

Calculated values
For the size of the total moment, the calculation gives 0.00 μB per formula unit. As for the density of states at the Fermi level: 1.3192 states/eV per atom.

(B)
Entry from the Alexandria database: a geometry-optimized ReIr3Br structure (PBE-GGA).

```
data_ReIr3Br
_chemical_formula_sum 'Re1 Ir3 Br1'
_space_group_name_H-M_alt 'P 1'
_space_group_IT_number 1
_space_group_name_Hall 'P 1'
_cell_length_a 4.567
_cell_length_b 4.567
_cell_length_c 4.567
_cell_angle_alpha 90.00
_cell_angle_beta 90.00
_cell_angle_gamma 90.00
loop_
_atom_site_label
_atom_site_fract_x
_atom_site_fract_y
_atom_site_fract_z
_atom_site_occupancy
Ir1 0.000 0.500 0.000 1
Ir2 0.000 0.000 0.500 1
Ir3 0.500 0.000 0.000 1
Br1 0.000 0.000 0.000 1
Re1 0.500 0.500 0.500 1
```

Calculated values
For the size of the total moment, the calculation gives 3.98 μB per formula unit. As for the density of states at the Fermi level: 1.0523 states/eV per atom.

Which of them is the least stable? Correct choice: (B).

(A)
Entry from the Alexandria database: a geometry-optimized IrRhBr2 structure (PBE-GGA).

```
data_IrRhBr2
_chemical_formula_sum 'Ir1 Rh1 Br2'
_space_group_name_H-M_alt 'P 1'
_space_group_IT_number 1
_space_group_name_Hall 'P 1'
_cell_length_a 3.265
_cell_length_b 3.265
_cell_length_c 6.560
_cell_angle_alpha 90.00
_cell_angle_beta 90.00
_cell_angle_gamma 90.00
loop_
_atom_site_label
_atom_site_fract_x
_atom_site_fract_y
_atom_site_fract_z
_atom_site_occupancy
Rh1 0.500 0.500 0.750 1
Br1 0.000 0.000 0.998 1
Br2 0.000 0.000 0.502 1
Ir1 0.500 0.500 0.250 1
```

Calculated values
For the size of the total moment, the calculation gives 0.96 μB per formula unit. As for the density of states at the Fermi level: 1.6772 states/eV per atom.

(B)
Entry from the Alexandria database: a geometry-optimized IrRhBr2 structure (PBE-GGA).

```
data_IrRhBr2
_chemical_formula_sum 'Ir1 Rh1 Br2'
_space_group_name_H-M_alt 'P 1'
_space_group_IT_number 1
_space_group_name_Hall 'P 1'
_cell_length_a 4.617
_cell_length_b 4.617
_cell_length_c 4.617
_cell_angle_alpha 60.00
_cell_angle_beta 60.00
_cell_angle_gamma 60.00
loop_
_atom_site_label
_atom_site_fract_x
_atom_site_fract_y
_atom_site_fract_z
_atom_site_occupancy
Br1 0.250 0.250 0.250 1
Br2 0.750 0.750 0.750 1
Ir1 0.500 0.500 0.500 1
Rh1 0.000 0.000 0.000 1
```

Calculated values
For the size of the total moment, the calculation gives 0.00 μB per formula unit. As for the density of states at the Fermi level: 1.5154 states/eV per atom.

(C)
Entry from the Alexandria database: a geometry-optimized IrRhBr2 structure (PBE-GGA).

```
data_IrRhBr2
_chemical_formula_sum 'Ir1 Rh1 Br2'
_space_group_name_H-M_alt 'P 1'
_space_group_IT_number 1
_space_group_name_Hall 'P 1'
_cell_length_a 2.992
_cell_length_b 5.709
_cell_length_c 4.332
_cell_angle_alpha 90.00
_cell_angle_beta 90.00
_cell_angle_gamma 90.00
loop_
_atom_site_label
_atom_site_fract_x
_atom_site_fract_y
_atom_site_fract_z
_atom_site_occupancy
Br1 0.500 0.500 0.000 1
Br2 0.000 0.000 0.000 1
Rh1 0.000 0.500 0.500 1
Ir1 0.500 0.000 0.500 1
```

Calculated values
For the size of the total moment, the calculation gives 0.00 μB per formula unit. As for the density of states at the Fermi level: 1.1526 states/eV per atom.

Which of them is the least stable? Correct choice: (A).

(A)
Entry from the Alexandria database: a geometry-optimized IrRhBr2 structure (PBE-GGA).

```
data_IrRhBr2
_chemical_formula_sum 'Ir1 Rh1 Br2'
_space_group_name_H-M_alt 'P 1'
_space_group_IT_number 1
_space_group_name_Hall 'P 1'
_cell_length_a 7.964
_cell_length_b 7.964
_cell_length_c 3.560
_cell_angle_alpha 77.46
_cell_angle_beta 77.46
_cell_angle_gamma 24.56
loop_
_atom_site_label
_atom_site_fract_x
_atom_site_fract_y
_atom_site_fract_z
_atom_site_occupancy
Rh1 0.812 0.812 0.686 1
Ir1 0.441 0.441 0.561 1
Br1 0.001 0.001 0.003 1
Br2 0.246 0.246 0.251 1
```

Calculated values
For the size of the total moment, the calculation gives 0.00 μB per formula unit. As for the density of states at the Fermi level: 0.8659 states/eV per atom.

(B)
Entry from the Alexandria database: a geometry-optimized IrRhBr2 structure (PBE-GGA).

```
data_IrRhBr2
_chemical_formula_sum 'Ir1 Rh1 Br2'
_space_group_name_H-M_alt 'P 1'
_space_group_IT_number 1
_space_group_name_Hall 'P 1'
_cell_length_a 3.214
_cell_length_b 3.214
_cell_length_c 8.653
_cell_angle_alpha 90.00
_cell_angle_beta 90.00
_cell_angle_gamma 124.37
loop_
_atom_site_label
_atom_site_fract_x
_atom_site_fract_y
_atom_site_fract_z
_atom_site_occupancy
Rh1 0.500 0.500 0.750 1
Ir1 0.500 0.500 0.250 1
Br1 0.000 0.000 0.999 1
Br2 0.000 0.000 0.501 1
```

Calculated values
For the size of the total moment, the calculation gives 0.00 μB per formula unit. As for the density of states at the Fermi level: 1.1295 states/eV per atom.

(C)
Entry from the Alexandria database: a geometry-optimized IrRhBr2 structure (PBE-GGA).

```
data_IrRhBr2
_chemical_formula_sum 'Ir1 Rh1 Br2'
_space_group_name_H-M_alt 'P 1'
_space_group_IT_number 1
_space_group_name_Hall 'P 1'
_cell_length_a 8.144
_cell_length_b 8.144
_cell_length_c 8.144
_cell_angle_alpha 22.82
_cell_angle_beta 22.82
_cell_angle_gamma 22.82
loop_
_atom_site_label
_atom_site_fract_x
_atom_site_fract_y
_atom_site_fract_z
_atom_site_occupancy
Ir1 0.250 0.250 0.250 1
Br1 0.497 0.497 0.497 1
Br2 0.003 0.003 0.003 1
Rh1 0.750 0.750 0.750 1
```

Calculated values
For the size of the total moment, the calculation gives 0.00 μB per formula unit. As for the density of states at the Fermi level: 1.1586 states/eV per atom.

Which of them is the least stable? Correct choice: (B).

(A)
Entry from the Alexandria database: a geometry-optimized IrRhBr2 structure (PBE-GGA).

```
data_IrRhBr2
_chemical_formula_sum 'Ir1 Rh1 Br2'
_space_group_name_H-M_alt 'P 1'
_space_group_IT_number 1
_space_group_name_Hall 'P 1'
_cell_length_a 7.786
_cell_length_b 7.786
_cell_length_c 7.786
_cell_angle_alpha 28.57
_cell_angle_beta 28.57
_cell_angle_gamma 28.57
loop_
_atom_site_label
_atom_site_fract_x
_atom_site_fract_y
_atom_site_fract_z
_atom_site_occupancy
Ir1 0.484 0.484 0.484 1
Br1 0.035 0.035 0.035 1
Br2 0.213 0.213 0.213 1
Rh1 0.767 0.767 0.767 1
```

Calculated values
For the size of the total moment, the calculation gives 0.00 μB per formula unit. As for the density of states at the Fermi level: 1.0737 states/eV per atom.

(B)
Entry from the Alexandria database: a geometry-optimized IrRhBr2 structure (PBE-GGA).

```
data_IrRhBr2
_chemical_formula_sum 'Ir2 Rh2 Br4'
_space_group_name_H-M_alt 'P 1'
_space_group_IT_number 1
_space_group_name_Hall 'P 1'
_cell_length_a 6.817
_cell_length_b 6.817
_cell_length_c 5.843
_cell_angle_alpha 54.31
_cell_angle_beta 54.31
_cell_angle_gamma 90.00
loop_
_atom_site_label
_atom_site_fract_x
_atom_site_fract_y
_atom_site_fract_z
_atom_site_occupancy
Br1 0.375 0.369 0.750 1
Br2 0.631 0.125 0.250 1
Br3 0.119 0.625 0.250 1
Br4 0.875 0.881 0.750 1
Rh1 0.250 0.750 0.500 1
Rh2 0.500 0.500 0.000 1
Ir1 0.000 0.000 0.000 1
Ir2 0.750 0.250 0.500 1
```

Calculated values
For the size of the total moment, the calculation gives 0.00 μB per formula unit. As for the density of states at the Fermi level: 0.6654 states/eV per atom.

Which of them is the least stable? Correct choice: (B).